# 1
Below is crystalline Zr4Ta2Sn3C3 at its relaxed geometry, with properties calculated at the PBE level.

Calculated values
* space group: C2/c
* E: -8.7864 eV/atom

Unit cell a=5.7344 b=5.7344 c=14.9215 alpha=101.14 beta=101.14 gamma=60.00
Last column: nearest neighbours and their distance in Å.
Positions (direct):
Zr  0.0348  0.1915  0.0887  3 C 2.32-2.33
Zr  0.1320  0.3036  0.4113  3 C 2.32-2.33
Zr  0.1915  0.0348  0.5887  3 C 2.32-2.33
Zr  0.3036  0.1320  0.9113  3 C 2.32-2.33
Zr  0.6964  0.8680  0.0887  3 C 2.32-2.33
Zr  0.8085  0.9652  0.4113  3 C 2.32-2.33
Zr  0.8680  0.6964  0.5887  3 C 2.32-2.33
Zr  0.9652  0.8085  0.9113  3 C 2.32-2.33
Ta  0.3541  0.5265  0.0796  3 C 2.20-2.21
Ta  0.4735  0.6459  0.4204  3 C 2.20-2.21
Ta  0.5265  0.3541  0.5796  3 C 2.20-2.21
Ta  0.6459  0.4735  0.9204  3 C 2.20-2.21
Sn  0.1023  0.8977  0.2500  4 Zr 3.05-3.06, 2 Ta 3.05, 6 Sn 3.13-3.41
Sn  0.2676  0.4170  0.7512  4 Zr 3.06-3.07, 2 Ta 3.07-3.08, 6 Sn 3.13-3.41
Sn  0.4170  0.2676  0.2512  4 Zr 3.06-3.07, 2 Ta 3.07-3.08, 6 Sn 3.13-3.41
Sn  0.5830  0.7324  0.7488  4 Zr 3.06-3.07, 2 Ta 3.07-3.08, 6 Sn 3.13-3.41
Sn  0.7324  0.5830  0.2488  4 Zr 3.06-3.07, 2 Ta 3.07-3.08, 6 Sn 3.13-3.41
Sn  0.8977  0.1023  0.7500  4 Zr 3.05-3.06, 2 Ta 3.05, 6 Sn 3.13-3.41
C  0.0000  0.5000  0.0000  2 Ta 2.21, 4 Zr 2.32
C  0.1797  0.6603  0.5000  2 Ta 2.20, 4 Zr 2.32-2.33
C  0.3397  0.8203  0.0000  2 Ta 2.20, 4 Zr 2.32-2.33
C  0.5000  0.0000  0.5000  2 Ta 2.21, 4 Zr 2.32
C  0.6603  0.1797  0.0000  2 Ta 2.20, 4 Zr 2.32-2.33
C  0.8203  0.3397  0.5000  2 Ta 2.20, 4 Zr 2.32-2.33

***

# 2
Below is crystalline PtS2 at its relaxed geometry, with properties calculated at the PBE level.

Calculated values
* space group: Cmc2_1
* E: -4.5578 eV/atom

Unit cell a=3.4963 b=3.4963 c=29.8274 alpha=90.00 beta=90.00 gamma=120.00
Last column: nearest neighbours and their distance in Å.
Positions (direct):
Pt  0.0922  0.9078  0.5000  6 S 2.43-2.47
Pt  0.2418  0.7582  0.8268  6 S 2.41-2.49
Pt  0.7582  0.2418  0.3268  6 S 2.41-2.49
Pt  0.9078  0.0922  0.0000  6 S 2.43-2.47
S  0.0914  0.9086  0.2782  3 Pt 2.48-2.49, 1 S 2.77
S  0.0914  0.9086  0.3711  3 Pt 2.41
S  0.4257  0.5743  0.4547  3 Pt 2.43
S  0.4257  0.5743  0.5478  3 Pt 2.47
S  0.5743  0.4257  0.0478  3 Pt 2.47
S  0.5743  0.4257  0.9547  3 Pt 2.43
S  0.9086  0.0914  0.7782  3 Pt 2.48-2.49, 1 S 2.77
S  0.9086  0.0914  0.8711  3 Pt 2.41

***

# 3
Below is crystalline TeIrNO at its relaxed geometry, with properties calculated at the PBE level.

Calculated values
* ΔE to the lowest computed polymorph: 0.3632 eV/atom
* space group: P4/nmm
* E: -5.7449 eV/atom

Unit cell a=4.0725 b=4.0725 c=6.7157 alpha=90.00 beta=90.00 gamma=90.00
Last column: nearest neighbours and their distance in Å.
Positions (direct):
Te  0.2500  0.2500  0.1822  4 O 2.38
Te  0.7500  0.7500  0.8178  4 O 2.38
Ir  0.2500  0.7500  0.5000  4 N 2.11
Ir  0.7500  0.2500  0.5000  4 N 2.11
N  0.2500  0.2500  0.5845  4 Ir 2.11
N  0.7500  0.7500  0.4155  4 Ir 2.11
O  0.2500  0.7500  0.0000  4 Te 2.38
O  0.7500  0.2500  0.0000  4 Te 2.38

***

# 4
Below is crystalline CsPd2O4 at its relaxed geometry, with properties calculated at the PBE level.

Calculated values
* space group: Fd-3m
* E: -4.8910 eV/atom

Unit cell a=6.7209 b=6.7209 c=6.7209 alpha=60.00 beta=60.00 gamma=60.00
Last column: nearest neighbours and their distance in Å.
Positions (direct):
Cs  0.1250  0.1250  0.1250  4 O 2.58
Cs  0.8750  0.8750  0.8750  4 O 2.58
Pd  0.0000  0.5000  0.5000  6 O 2.12
Pd  0.5000  0.0000  0.5000  6 O 2.12
Pd  0.5000  0.5000  0.0000  6 O 2.12
Pd  0.5000  0.5000  0.5000  6 O 2.12
O  0.2815  0.2815  0.2815  3 Pd 2.12
O  0.2815  0.2815  0.6556  3 Pd 2.12
O  0.2815  0.6556  0.2815  3 Pd 2.12
O  0.3444  0.7185  0.7185  3 Pd 2.12
O  0.6556  0.2815  0.2815  3 Pd 2.12
O  0.7185  0.3444  0.7185  3 Pd 2.12
O  0.7185  0.7185  0.3444  3 Pd 2.12
O  0.7185  0.7185  0.7185  3 Pd 2.12

***

# 5
Below is crystalline PrThPd at its relaxed geometry, with properties calculated at the PBE level.

Calculated values
* ΔE to the lowest computed polymorph: 0.0000 eV/atom
* DFT formation energy: -0.21 eV per atom
* space group: F-43m
* E: -5.9987 eV/atom

Unit cell a=7.1176 b=7.1176 c=7.1176 alpha=90.00 beta=90.00 gamma=90.00
Last column: nearest neighbours and their distance in Å.
Positions (direct):
Pr  0.0000  0.0000  0.0000  4 Pd 3.08
Pr  0.0000  0.5000  0.5000  4 Pd 3.08
Pr  0.5000  0.0000  0.5000  4 Pd 3.08
Pr  0.5000  0.5000  0.0000  4 Pd 3.08
Th  0.0000  0.0000  0.5000  4 Pd 3.08
Th  0.0000  0.5000  0.0000  4 Pd 3.08
Th  0.5000  0.0000  0.0000  4 Pd 3.08
Th  0.5000  0.5000  0.5000  4 Pd 3.08
Pd  0.2500  0.2500  0.2500  4 Th 3.08, 4 Pr 3.08
Pd  0.2500  0.7500  0.7500  4 Th 3.08, 4 Pr 3.08
Pd  0.7500  0.2500  0.7500  4 Th 3.08, 4 Pr 3.08
Pd  0.7500  0.7500  0.2500  4 Th 3.08, 4 Pr 3.08

***

# 6
Below is crystalline DySnTe3Au at its relaxed geometry, with properties calculated at the PBE level.

Calculated values
* ΔE to the lowest computed polymorph: 0.0000 eV/atom
* space group: Pnma
* E: -4.2071 eV/atom

Unit cell a=11.1442 b=4.2716 c=14.7371 alpha=90.00 beta=90.00 gamma=90.00
Last column: nearest neighbours and their distance in Å.
Positions (direct):
Dy  0.0137  0.2500  0.2464  6 Te 3.11-3.13, 2 Au 3.46
Dy  0.4863  0.7500  0.7464  6 Te 3.11-3.13, 2 Au 3.46
Dy  0.5137  0.2500  0.2536  6 Te 3.11-3.13, 2 Au 3.46
Dy  0.9863  0.7500  0.7536  6 Te 3.11-3.13, 2 Au 3.46
Sn  0.2325  0.7500  0.5307  6 Te 3.21-3.48, 2 Au 3.51
Sn  0.2675  0.2500  0.0307  6 Te 3.21-3.48, 2 Au 3.51
Sn  0.7325  0.7500  0.9693  6 Te 3.21-3.48, 2 Au 3.51
Sn  0.7675  0.2500  0.4693  6 Te 3.21-3.48, 2 Au 3.51
Te  0.0408  0.2500  0.6049  1 Au 2.83, 2 Dy 3.12
Te  0.0656  0.7500  0.0981  1 Au 2.77
Te  0.2383  0.7500  0.8457  2 Au 2.83, 2 Dy 3.12-3.13
Te  0.2617  0.2500  0.3457  2 Au 2.83, 2 Dy 3.12-3.13
Te  0.4344  0.2500  0.5981  1 Au 2.77
Te  0.4592  0.7500  0.1049  1 Au 2.83, 2 Dy 3.12
Te  0.5408  0.2500  0.8951  1 Au 2.83, 2 Dy 3.12
Te  0.5656  0.7500  0.4019  1 Au 2.77
Te  0.7383  0.7500  0.6543  2 Au 2.83, 2 Dy 3.12-3.13
Te  0.7617  0.2500  0.1543  2 Au 2.83, 2 Dy 3.12-3.13
Te  0.9344  0.2500  0.9019  1 Au 2.77
Te  0.9592  0.7500  0.3951  1 Au 2.83, 2 Dy 3.12
Au  0.2446  0.2500  0.7196  4 Te 2.77-2.83
Au  0.2554  0.7500  0.2196  4 Te 2.77-2.83
Au  0.7446  0.2500  0.7804  4 Te 2.77-2.83
Au  0.7554  0.7500  0.2804  4 Te 2.77-2.83

***

# 7
Below is crystalline HfZrNi2 at its relaxed geometry, with properties calculated at the PBE level.

Calculated values
* DFT formation energy: -0.13 eV per atom
* space group: F-43m
* E: -7.5427 eV/atom

Unit cell a=6.2885 b=6.2885 c=6.2885 alpha=90.00 beta=90.00 gamma=90.00
Last column: nearest neighbours and their distance in Å.
Positions (direct):
Hf  0.0000  0.0000  0.0000  4 Zr 2.72, 4 Ni 2.72
Hf  0.0000  0.5000  0.5000  4 Zr 2.72, 4 Ni 2.72
Hf  0.5000  0.0000  0.5000  4 Zr 2.72, 4 Ni 2.72
Hf  0.5000  0.5000  0.0000  4 Zr 2.72, 4 Ni 2.72
Zr  0.2500  0.2500  0.7500  4 Hf 2.72, 4 Ni 2.72
Zr  0.2500  0.7500  0.2500  4 Hf 2.72, 4 Ni 2.72
Zr  0.7500  0.2500  0.2500  4 Hf 2.72, 4 Ni 2.72
Zr  0.7500  0.7500  0.7500  4 Hf 2.72, 4 Ni 2.72
Ni  0.0000  0.0000  0.5000  4 Ni 2.72, 4 Zr 2.72
Ni  0.0000  0.5000  0.0000  4 Ni 2.72, 4 Zr 2.72
Ni  0.2500  0.2500  0.2500  4 Hf 2.72, 4 Ni 2.72
Ni  0.2500  0.7500  0.7500  4 Hf 2.72, 4 Ni 2.72
Ni  0.5000  0.0000  0.0000  4 Ni 2.72, 4 Zr 2.72
Ni  0.5000  0.5000  0.5000  4 Ni 2.72, 4 Zr 2.72
Ni  0.7500  0.2500  0.7500  4 Hf 2.72, 4 Ni 2.72
Ni  0.7500  0.7500  0.2500  4 Hf 2.72, 4 Ni 2.72

***

# 8
Below is crystalline Pr3Er3NiTe2 at its relaxed geometry, with properties calculated at the PBE level.

Calculated values
* ΔE to the lowest computed polymorph: 0.0000 eV/atom
* space group: P-62m
* E: -5.1805 eV/atom

Unit cell a=8.4610 b=8.4610 c=4.0358 alpha=90.00 beta=90.00 gamma=120.00
Last column: nearest neighbours and their distance in Å.
Positions (direct):
Pr  0.0000  0.4040  0.0000  4 Te 3.27, 1 Ni 3.42, 4 Er 3.59
Pr  0.4040  0.0000  0.0000  4 Te 3.27, 1 Ni 3.42, 4 Er 3.59
Pr  0.5960  0.5960  0.0000  4 Te 3.27, 1 Ni 3.42, 4 Er 3.59
Er  0.0000  0.7669  0.5000  2 Ni 2.82
Er  0.2331  0.2331  0.5000  2 Ni 2.82
Er  0.7669  0.0000  0.5000  2 Ni 2.82
Ni  0.0000  0.0000  0.0000  6 Er 2.82
Te  0.3333  0.6667  0.5000  6 Pr 3.27, 3 Er 3.33
Te  0.6667  0.3333  0.5000  6 Pr 3.27, 3 Er 3.33